No. 1
Below is AlP2BrO after structural relaxation, with properties calculated at the GGA-PBE level.

abc: 4.6767 4.6767 4.7721
angles: 90.00 90.00 90.00
Positions (direct):
Al 0.0000 0.0000 0.0000
P 0.0000 0.5000 0.0000
P 0.5000 0.0000 0.0000
Br 0.0000 0.0000 0.5000
O 0.5000 0.5000 0.5000

Computed properties:
raw formation energy = 1013.3 meV per atom
Fermi-level density of states = 4.7 states/eV/cell
total moment = 0.0 μB/cell
excess energy over the best structure of this formula in the dataset = 1038 meV/atom
symmetry = P4/mmm
density = 2.941 g cm⁻³
volume = 104 Å³/cell

***

No. 2
Below is Nd2SmTm7 after structural relaxation, with properties calculated at the GGA-PBE level.

abc: 14.7012 14.7012 3.5048
angles: 90.00 90.00 154.69
Positions (direct):
Nd 0.2086 0.7914 0.0000
Nd 0.7914 0.2086 0.0000
Sm 0.5000 0.5000 0.5000
Tm 0.0000 0.0000 0.0000
Tm 0.1546 0.3515 0.0000
Tm 0.3160 0.6840 0.5000
Tm 0.3515 0.1546 0.0000
Tm 0.6485 0.8454 0.0000
Tm 0.6840 0.3160 0.5000
Tm 0.8454 0.6485 0.0000

Computed properties:
Fermi-level density of states = 15.9 states/eV/cell
total moment = 0.0 μB/cell
excess energy over the best structure of this formula in the dataset = 142 meV/atom
symmetry = Cmmm
density = 8.315 g cm⁻³
formation enthalpy at 0 K = 165 meV per atom
volume = 324 Å³/cell

***

No. 3
Below is Ac6CdGa after structural relaxation, with properties calculated at the GGA-PBE level.

abc: 10.4123 10.4123 10.4123
angles: 148.41 148.41 45.28
Positions (direct):
Ac 0.1032 0.6032 0.5000
Ac 0.2493 0.2493 0.0000
Ac 0.3968 0.8968 0.5000
Ac 0.6032 0.1032 0.5000
Ac 0.7507 0.7507 0.0000
Ac 0.8968 0.3968 0.5000
Cd 0.5000 0.5000 0.0000
Ga 0.0000 0.0000 0.0000

Computed properties:
Fermi-level density of states = 9.2 states/eV/cell
total moment = 0.0 μB/cell
symmetry = I4/mmm
density = 8.305 g cm⁻³
formation enthalpy at 0 K = -172 meV per atom
volume = 309 Å³/cell

***

No. 4
Below is Na4Th3NiS8 after structural relaxation, with properties calculated at the GGA-PBE level.

abc: 8.2245 8.2245 8.1842
angles: 119.83 119.83 56.16
Positions (direct):
Na 0.0000 0.0000 0.0000
Na 0.0000 0.5000 0.5000
Na 0.5000 0.0000 0.5000
Na 0.5000 0.5000 0.0000
Th 0.0000 0.0000 0.5000
Th 0.0000 0.5000 0.0000
Th 0.5000 0.0000 0.0000
Ni 0.5000 0.5000 0.5000
S 0.2270 0.2270 0.2185
S 0.2365 0.2365 0.7354
S 0.2588 0.7101 0.2656
S 0.2899 0.7412 0.7344
S 0.7101 0.2588 0.2656
S 0.7412 0.2899 0.7344
S 0.7635 0.7635 0.2646
S 0.7730 0.7730 0.7815

Computed properties:
raw formation energy = -1418.3 meV per atom
Fermi-level density of states = 5.4 states/eV/cell
total moment = 0.9 μB/cell
symmetry = C2/m
density = 4.824 g cm⁻³
volume = 380 Å³/cell

***

No. 5
Below is RbLi2I3 after structural relaxation, with properties calculated at the GGA-PBE level.

abc: 13.8773 13.8773 7.7278
angles: 102.86 102.86 19.87
Positions (direct):
Rb 0.1372 0.1372 0.4232
Rb 0.8628 0.8628 0.5768
Li 0.2063 0.2063 0.0203
Li 0.4450 0.4450 0.0731
Li 0.5550 0.5550 0.9269
Li 0.7937 0.7937 0.9797
I 0.1075 0.1075 0.8723
I 0.2674 0.2674 0.7755
I 0.4575 0.4575 0.7298
I 0.5425 0.5425 0.2702
I 0.7326 0.7326 0.2245
I 0.8925 0.8925 0.1277

Computed properties:
raw formation energy = -1274.4 meV per atom
Fermi-level density of states = 0.0 states/eV/cell
total moment = 0.0 μB/cell
symmetry = C2/m
density = 3.235 g cm⁻³
volume = 493 Å³/cell

***

No. 6
Below is La3ErBi2 after structural relaxation, with properties calculated at the GGA-PBE level.

abc: 4.7137 4.7137 9.1274
angles: 90.00 90.00 90.00
Positions (direct):
La 0.0000 0.0000 0.0000
La 0.0000 0.5000 0.6484
La 0.5000 0.0000 0.3516
Er 0.5000 0.5000 0.0000
Bi 0.0000 0.5000 0.2762
Bi 0.5000 0.0000 0.7238

Computed properties:
Fermi-level density of states = 6.4 states/eV/cell
total moment = 0.0 μB/cell
excess energy over the best structure of this formula in the dataset = 0 meV/atom
symmetry = P-4m2
density = 8.204 g cm⁻³
formation enthalpy at 0 K = -679 meV per atom
volume = 203 Å³/cell

***

No. 7
Below is SmGdScPt after structural relaxation, with properties calculated at the GGA-PBE level.

abc: 5.1520 5.1520 5.1520
angles: 60.00 60.00 60.00
Positions (direct):
Sm 0.0000 0.0000 0.0000
Gd 0.5000 0.5000 0.5000
Sc 0.2500 0.2500 0.2500
Pt 0.7500 0.7500 0.7500

Computed properties:
Fermi-level density of states = 5.3 states/eV/cell
total moment = 8.0 μB/cell
symmetry = F-43m
density = 9.404 g cm⁻³
formation enthalpy at 0 K = -338 meV per atom
volume = 97 Å³/cell

***

No. 8
Below is Sc6BiSb5 after structural relaxation, with properties calculated at the GGA-PBE level.

abc: 7.2412 7.2412 7.2381
angles: 99.59 99.59 120.02
Positions (direct):
Sc 0.0772 0.4153 0.7467
Sc 0.2452 0.2452 0.2509
Sc 0.4153 0.0772 0.7467
Sc 0.5847 0.9228 0.2533
Sc 0.7548 0.7548 0.7491
Sc 0.9228 0.5847 0.2533
Bi 0.5000 0.5000 0.0000
Sb 0.0000 0.0000 0.5000
Sb 0.1672 0.8328 0.0000
Sb 0.3354 0.6646 0.5000
Sb 0.6646 0.3354 0.5000
Sb 0.8328 0.1672 0.0000

Computed properties:
raw formation energy = -893.0 meV per atom
Fermi-level density of states = 2.1 states/eV/cell
total moment = 0.0 μB/cell
symmetry = C2/m
density = 5.829 g cm⁻³
volume = 310 Å³/cell

***

No. 9
Below is BeReAg2 after structural relaxation, with properties calculated at the GGA-PBE level.

abc: 5.4396 5.4396 5.4396
angles: 151.11 131.39 57.54
Positions (direct):
Be 0.0000 0.0000 0.0000
Re 0.5000 0.5000 0.0000
Ag 0.2115 0.7115 0.5000
Ag 0.7885 0.2885 0.5000

Computed properties:
Fermi-level density of states = 2.3 states/eV/cell
total moment = 0.0 μB/cell
symmetry = Immm
density = 11.777 g cm⁻³
formation enthalpy at 0 K = 516 meV per atom
volume = 58 Å³/cell

***

No. 10
Below is Pm3Nd5Tm2 after structural relaxation, with properties calculated at the GGA-PBE level.

abc: 9.2376 9.2376 10.0732
angles: 108.39 108.39 108.17
Positions (direct):
Pm 0.0275 0.2776 0.0565
Pm 0.2293 0.7707 0.7500
Pm 0.2776 0.0275 0.5565
Pm 0.7224 0.9725 0.4435
Pm 0.7707 0.2293 0.2500
Pm 0.9725 0.7224 0.9435
Nd 0.0221 0.9779 0.7500
Nd 0.1276 0.3788 0.7516
Nd 0.2722 0.7278 0.2500
Nd 0.3788 0.1276 0.2516
Nd 0.4794 0.5206 0.2500
Nd 0.5206 0.4794 0.7500
Nd 0.6212 0.8724 0.7484
Nd 0.7278 0.2722 0.7500
Nd 0.8724 0.6212 0.2484
Nd 0.9779 0.0221 0.2500
Tm 0.2201 0.4716 0.4434
Tm 0.4716 0.2201 0.9434
Tm 0.5284 0.7799 0.0566
Tm 0.7799 0.5284 0.5566

Computed properties:
Fermi-level density of states = 32.9 states/eV/cell
total moment = 0.0 μB/cell
excess energy over the best structure of this formula in the dataset = 0 meV/atom
symmetry = C2/c
density = 7.206 g cm⁻³
formation enthalpy at 0 K = 172 meV per atom
volume = 689 Å³/cell

***

No. 11
Below is SrLiPrS3 after structural relaxation, with properties calculated at the GGA-PBE level.

abc: 8.5693 4.0941 8.7072
angles: 90.00 100.91 90.00
Positions (direct):
Sr 0.1734 0.2500 0.2249
Sr 0.8266 0.7500 0.7751
Li 0.0842 0.2500 0.5847
Li 0.9158 0.7500 0.4153
Pr 0.3378 0.7500 0.8233
Pr 0.6622 0.2500 0.1767
S 0.1133 0.2500 0.8643
S 0.1980 0.7500 0.5013
S 0.4249 0.7500 0.1647
S 0.5751 0.2500 0.8353
S 0.8020 0.2500 0.4987
S 0.8867 0.7500 0.1357

Computed properties:
raw formation energy = -1878.0 meV per atom
Fermi-level density of states = 0.0 states/eV/cell
total moment = 0.0 μB/cell
symmetry = P2_1/m
density = 3.672 g cm⁻³
volume = 300 Å³/cell

***

No. 12
Below is Rb2YHg2 after structural relaxation, with properties calculated at the GGA-PBE level.

abc: 7.9851 7.9851 6.2763
angles: 90.00 90.00 90.00
Positions (direct):
Rb 0.1747 0.3253 0.0000
Rb 0.3253 0.8253 0.0000
Rb 0.6747 0.1747 0.0000
Rb 0.8253 0.6747 0.0000
Y 0.0000 0.0000 0.5000
Y 0.5000 0.5000 0.5000
Hg 0.1330 0.6330 0.5000
Hg 0.3670 0.1330 0.5000
Hg 0.6330 0.8670 0.5000
Hg 0.8670 0.3670 0.5000

Computed properties:
Fermi-level density of states = 6.5 states/eV/cell
total moment = 1.6 μB/cell
symmetry = P4/mbm
density = 5.486 g cm⁻³
formation enthalpy at 0 K = 7 meV per atom
volume = 400 Å³/cell

***

No. 13
Below is ErTiTlO4 after structural relaxation, with properties calculated at the GGA-PBE level.

abc: 5.9524 6.0102 7.5797
angles: 90.00 107.86 90.00
Positions (direct):
Er 0.1837 0.2500 0.0468
Er 0.8163 0.7500 0.9532
Ti 0.2785 0.7500 0.8468
Ti 0.7215 0.2500 0.1532
Tl 0.3110 0.2500 0.5802
Tl 0.6890 0.7500 0.4198
O 0.0633 0.5237 0.8417
O 0.0633 0.9763 0.8417
O 0.4830 0.7500 0.7077
O 0.4966 0.7500 0.0693
O 0.5034 0.2500 0.9307
O 0.5170 0.2500 0.2923
O 0.9367 0.0237 0.1583
O 0.9367 0.4763 0.1583

Computed properties:
raw formation energy = -2680.9 meV per atom
Fermi-level density of states = 0.0 states/eV/cell
total moment = 0.0 μB/cell
symmetry = P2_1/m
density = 6.221 g cm⁻³
volume = 258 Å³/cell

***

No. 14
Below is BaFeOs after structural relaxation, with properties calculated at the GGA-PBE level.

abc: 4.0094 4.6227 10.4188
angles: 97.83 90.39 115.68
Positions (direct):
Ba 0.1727 0.3565 0.2021
Ba 0.8273 0.6435 0.7979
Fe 0.0790 0.1537 0.5979
Fe 0.9210 0.8463 0.4021
Os 0.3500 0.7000 0.5200
Os 0.6500 0.3000 0.4800

Computed properties:
Fermi-level density of states = 6.3 states/eV/cell
total moment = 3.9 μB/cell
excess energy over the best structure of this formula in the dataset = 22 meV/atom
symmetry = P-1
density = 7.406 g cm⁻³
formation enthalpy at 0 K = 368 meV per atom
volume = 172 Å³/cell

***

No. 15
Below is La2CdRuC after structural relaxation, with properties calculated at the GGA-PBE level.

abc: 5.4041 5.4041 3.9540
angles: 90.00 90.00 90.00
Positions (direct):
La 0.0000 0.5000 0.0000
La 0.5000 0.0000 0.0000
Cd 0.0000 0.0000 0.5000
Ru 0.5000 0.5000 0.5000
C 0.5000 0.5000 0.0000

Computed properties:
Fermi-level density of states = 3.0 states/eV/cell
total moment = 0.0 μB/cell
excess energy over the best structure of this formula in the dataset = 0 meV/atom
symmetry = P4/mmm
density = 7.238 g cm⁻³
formation enthalpy at 0 K = -281 meV per atom
volume = 115 Å³/cell

***

No. 16
Below is KBa3 after structural relaxation, with properties calculated at the GGA-PBE level.

abc: 8.0814 8.0814 8.0814
angles: 90.00 90.00 90.00
Positions (direct):
K 0.0000 0.0000 0.0000
K 0.5000 0.5000 0.5000
Ba 0.0000 0.2500 0.5000
Ba 0.0000 0.7500 0.5000
Ba 0.2500 0.5000 0.0000
Ba 0.5000 0.0000 0.2500
Ba 0.5000 0.0000 0.7500
Ba 0.7500 0.5000 0.0000

Computed properties:
Fermi-level density of states = 12.9 states/eV/cell
total moment = 1.1 μB/cell
excess energy over the best structure of this formula in the dataset = 66 meV/atom
symmetry = Pm-3n
density = 2.838 g cm⁻³
formation enthalpy at 0 K = 113 meV per atom
volume = 528 Å³/cell

***

No. 17
Below is Zr2AlAu after structural relaxation, with properties calculated at the GGA-PBE level.

abc: 4.8329 4.8329 4.8329
angles: 60.00 60.00 60.00
Positions (direct):
Zr 0.0000 0.0000 0.0000
Zr 0.2500 0.2500 0.2500
Al 0.5000 0.5000 0.5000
Au 0.7500 0.7500 0.7500

Computed properties:
Fermi-level density of states = 3.6 states/eV/cell
total moment = 2.6 μB/cell
symmetry = F-43m
density = 8.454 g cm⁻³
formation enthalpy at 0 K = -61 meV per atom
volume = 80 Å³/cell

***

No. 18
Below is ScInW after structural relaxation, with properties calculated at the GGA-PBE level.

abc: 4.6819 4.6819 4.6819
angles: 60.00 60.00 60.00
Positions (direct):
Sc 0.0000 0.0000 0.0000
In 0.5000 0.5000 0.5000
W 0.2500 0.2500 0.2500

Computed properties:
Fermi-level density of states = 2.9 states/eV/cell
total moment = 2.1 μB/cell
excess energy over the best structure of this formula in the dataset = 708 meV/atom
symmetry = F-43m
density = 7.863 g cm⁻³
formation enthalpy at 0 K = 896 meV per atom
volume = 73 Å³/cell

***

No. 19
Below is CaPH4O5F after structural relaxation, with properties calculated at the GGA-PBE level.

abc: 5.5725 6.6847 8.7560
angles: 103.52 97.64 110.18
Positions (direct):
Ca 0.2463 0.3478 0.3060
Ca 0.7537 0.6522 0.6940
P 0.1828 0.3594 0.7257
P 0.8172 0.6406 0.2743
H 0.1989 0.0818 0.8086
H 0.2204 0.9656 0.9518
H 0.2225 0.8494 0.1825
H 0.4921 0.0288 0.1736
H 0.5079 0.9712 0.8264
H 0.7775 0.1506 0.8175
H 0.7796 0.0344 0.0482
H 0.8011 0.9182 0.1914
O 0.0574 0.5838 0.2447
O 0.1929 0.9386 0.8322
O 0.2796 0.4258 0.5771
O 0.2994 0.9956 0.1614
O 0.4189 0.0424 0.5128
O 0.5811 0.9576 0.4872
O 0.7006 0.0044 0.8386
O 0.7204 0.5742 0.4229
O 0.8071 0.0614 0.1678
O 0.9426 0.4162 0.7553
F 0.4458 0.5807 0.8682
F 0.5542 0.4193 0.1318

Computed properties:
total moment = 2.0 μB/cell
excess energy over the best structure of this formula in the dataset = 359 meV/atom
symmetry = P-1
density = 1.998 g cm⁻³
volume = 289 Å³/cell

***

No. 20
Below is CdBiI2N after structural relaxation, with properties calculated at the GGA-PBE level.

abc: 6.1451 6.1451 4.1618
angles: 90.00 90.00 90.00
Positions (direct):
Cd 0.0000 0.0000 0.0000
Bi 0.5000 0.5000 0.5000
I 0.0000 0.5000 0.0000
I 0.5000 0.0000 0.0000
N 0.0000 0.0000 0.5000

Computed properties:
raw formation energy = 739.9 meV per atom
Fermi-level density of states = 4.2 states/eV/cell
total moment = 1.8 μB/cell
excess energy over the best structure of this formula in the dataset = 101 meV/atom
symmetry = P4/mmm
density = 6.225 g cm⁻³
volume = 157 Å³/cell